Here is crystalline Cs2SbI4Cl2 at its relaxed geometry from the Alexandria database. Energies are from PBE.

```
Cs2SbI4Cl2
1.0
8.198 1.297 0.883
3.060 7.734 0.354
3.060 3.169 7.063
I Cs Cl Sb
4 2 2 1
Direct
0.270 0.725 0.241
0.730 0.275 0.759
0.270 0.241 0.725
0.730 0.759 0.275
0.779 0.246 0.246
0.221 0.754 0.754
0.755 0.782 0.782
0.245 0.218 0.218
0.500 0.000 0.000
```

Properties
**Symmetry**: C2/m (12)
**E_form (uncorrected)**: -1.02 eV per atom
**ρ**: 4.01 g/cm3